Entry 1:
A PBEsol-optimized structure of KVF3. Source: Alexandria via LeMat-Bulk, functional SCAN.

## Properties
Raw formation energy ... -3.079 eV per atom
Uncorrected energy ... -10.367 eV/atom
SG ... Pm-3m, No. 221
Total magnetic moment ... 3.0 μB per formula unit

abc: 4.1047 4.1047 4.1047
angles: 90.00 90.00 90.00
With the nearest neighbours (Å) after each atom.
Sites, in units of the cell vectors:
F1 0.0000 0.5000 0.5000  2 V 2.05
F2 0.5000 0.5000 0.0000  2 V 2.05
F3 0.5000 0.0000 0.5000  2 V 2.05
V1 0.5000 0.5000 0.5000  6 F 2.05
K1 0.0000 0.0000 0.0000  12 F 2.90

---

Entry 2:
A PBEsol-optimized structure of KZrVF7. Source: Alexandria via LeMat-Bulk, functional SCAN.

## Properties
Raw formation energy ... -3.563 eV per atom
Uncorrected energy ... -11.693 eV/atom
SG ... Pnna, No. 52
Total magnetic moment ... 3.0 μB per formula unit

abc: 6.4413 7.8485 11.0482
angles: 90.00 90.00 90.00
With the nearest neighbours (Å) after each atom.
Sites, in units of the cell vectors:
F1 0.5691 0.7086 0.7523  1 V 2.06, 1 Zr 2.13
F2 0.1644 0.5006 0.1023  1 Zr 2.04, 1 V 2.04
F3 0.8356 0.4994 0.8977  1 Zr 2.04, 1 V 2.04
F4 0.4441 0.3068 0.9557  1 V 2.05, 1 Zr 2.09
F5 0.6644 0.0006 0.8977  1 Zr 2.04, 1 V 2.04
F6 0.7500 0.7500 0.4128  1 Zr 2.00
F7 0.4309 0.2914 0.2477  1 V 2.06, 1 Zr 2.13
F8 0.0559 0.8068 0.5443  1 V 2.05, 1 Zr 2.09
F9 0.5559 0.6932 0.0443  1 V 2.05, 1 Zr 2.09
F10 0.7500 0.2500 0.0872  1 Zr 2.00
F11 0.3356 0.0006 0.3977  1 Zr 2.04, 1 V 2.04
F12 0.2500 0.7500 0.9128  1 Zr 2.00
F13 0.5559 0.3068 0.4557  1 V 2.05, 1 Zr 2.09
F14 0.4309 0.7086 0.2523  1 V 2.06, 1 Zr 2.13
F15 0.5691 0.2914 0.7477  1 V 2.06, 1 Zr 2.13
F16 0.8356 0.5006 0.6023  1 Zr 2.04, 1 V 2.04
F17 0.2500 0.2500 0.5873  1 Zr 2.00
F18 0.9441 0.8068 0.0443  1 V 2.05, 1 Zr 2.09
F19 0.0691 0.7914 0.2523  1 V 2.06, 1 Zr 2.13
F20 0.9441 0.1932 0.4557  1 V 2.05, 1 Zr 2.09
F21 0.9309 0.7914 0.7523  1 V 2.06, 1 Zr 2.13
F22 0.9309 0.2086 0.7477  1 V 2.06, 1 Zr 2.13
F23 0.4441 0.6932 0.5443  1 V 2.05, 1 Zr 2.09
F24 0.3356 0.9994 0.1023  1 Zr 2.04, 1 V 2.04
F25 0.0691 0.2086 0.2477  1 V 2.06, 1 Zr 2.13
F26 0.6644 0.9994 0.6023  1 Zr 2.04, 1 V 2.04
F27 0.0559 0.1932 0.9557  1 V 2.05, 1 Zr 2.09
F28 0.1644 0.4994 0.3977  1 Zr 2.04, 1 V 2.04
V1 0.2500 0.7500 0.4027  6 F 2.04-2.06
V2 0.7500 0.2500 0.5973  6 F 2.04-2.06
V3 0.2500 0.2500 0.0973  6 F 2.04-2.06
V4 0.7500 0.7500 0.9027  6 F 2.04-2.06
Zr1 0.2500 0.2500 0.4066  7 F 2.00-2.13
Zr2 0.7500 0.7500 0.5934  7 F 2.00-2.13
Zr3 0.2500 0.7500 0.0934  7 F 2.00-2.13
Zr4 0.7500 0.2500 0.9066  7 F 2.00-2.13
K1 0.2683 0.0000 0.7500  4 F 2.66-2.72
K2 0.2317 0.5000 0.7500  4 F 2.66-2.72
K3 0.7317 0.0000 0.2500  4 F 2.66-2.72
K4 0.7683 0.5000 0.2500  4 F 2.66-2.72

---

Entry 3:
A PBEsol-optimized structure of KWF2. Source: Alexandria via LeMat-Bulk, functional SCAN.

## Properties
Raw formation energy ... -1.566 eV per atom
Uncorrected energy ... -22.840 eV/atom
SG ... R-3m, No. 166
Total magnetic moment ... 0.0 μB per formula unit

abc: 2.9106 2.9106 7.8234
angles: 79.28 79.28 60.00
With the nearest neighbours (Å) after each atom.
Sites, in units of the cell vectors:
K1 0.5000 0.5000 0.5000  6 F 2.45
F1 0.0890 0.0890 0.7329  1 W 2.04
F2 0.9110 0.9110 0.2671  1 W 2.04
W1 0.0000 0.0000 0.0000  2 F 2.04

---

Entry 4:
A PBEsol-optimized structure of K3YF6. Source: Alexandria via LeMat-Bulk, functional SCAN.

## Properties
Raw formation energy ... -3.551 eV per atom
Uncorrected energy ... -10.957 eV/atom
SG ... P2_1/c, No. 14
Total magnetic moment ... 0.3 μB per formula unit

abc: 6.2850 6.5236 8.9362
angles: 90.00 89.02 90.00
With the nearest neighbours (Å) after each atom.
Sites, in units of the cell vectors:
F1 0.8760 0.0619 0.2235  1 Y 2.17
F2 0.3256 0.2335 0.4226  1 Y 2.17
F3 0.7265 0.8169 0.9446  1 Y 2.16
F4 0.2265 0.6831 0.4446  1 Y 2.16
F5 0.8256 0.2665 0.9226  1 Y 2.17
F6 0.6744 0.7665 0.5774  1 Y 2.17
F7 0.1744 0.7335 0.0774  1 Y 2.17
F8 0.7735 0.3169 0.5554  1 Y 2.16
F9 0.3760 0.4381 0.7235  1 Y 2.17
F10 0.2735 0.1831 0.0554  1 Y 2.16
F11 0.6240 0.5619 0.2765  1 Y 2.17
F12 0.1240 0.9381 0.7765  1 Y 2.17
K1 0.5000 0.5000 0.0000  6 F 2.55-2.63
K2 0.0219 0.4455 0.2556  6 F 2.62-2.92
K3 0.9781 0.5545 0.7444  6 F 2.62-2.92
K4 0.0000 0.0000 0.5000  6 F 2.55-2.63
K5 0.4781 0.9455 0.2444  6 F 2.62-2.92
K6 0.5219 0.0545 0.7556  6 F 2.62-2.92
Y1 0.0000 0.0000 0.0000  6 F 2.16-2.17
Y2 0.5000 0.5000 0.5000  6 F 2.16-2.17

---

Entry 5:
A PBEsol-optimized structure of K3YF6. Source: Alexandria via LeMat-Bulk, functional SCAN.

## Properties
Raw formation energy ... -3.467 eV per atom
Uncorrected energy ... -10.874 eV/atom
SG ... Fm-3m, No. 225
Total magnetic moment ... 0.2 μB per formula unit

abc: 6.5309 6.5309 6.5309
angles: 60.00 60.00 60.00
With the nearest neighbours (Å) after each atom.
Sites, in units of the cell vectors:
F1 0.7678 0.2322 0.7678  1 Y 2.14
F2 0.2322 0.7678 0.7678  1 Y 2.14
F3 0.7678 0.7678 0.2322  1 Y 2.14
F4 0.2322 0.7678 0.2322  1 Y 2.14
F5 0.2322 0.2322 0.7678  1 Y 2.14
F6 0.7678 0.2322 0.2322  1 Y 2.14
Y1 0.0000 0.0000 0.0000  6 F 2.14
K1 0.7500 0.7500 0.7500  12 F 3.27
K2 0.5000 0.5000 0.5000  6 F 2.47
K3 0.2500 0.2500 0.2500  12 F 3.27

---

Entry 6:
A PBEsol-optimized structure of KY3F10. Source: Alexandria via LeMat-Bulk, functional SCAN.

## Properties
Raw formation energy ... -4.279 eV per atom
Uncorrected energy ... -13.369 eV/atom
SG ... Fm-3m, No. 225
Total magnetic moment ... 0.2 μB per formula unit

abc: 8.1185 8.1185 8.1185
angles: 60.00 60.00 60.00
With the nearest neighbours (Å) after each atom.
Sites, in units of the cell vectors:
F1 0.5000 0.1687 0.8313  2 Y 2.19
F2 0.8313 0.1687 0.5000  2 Y 2.19
F3 0.3365 0.8878 0.8878  3 Y 2.34, 3 F 2.58
F4 0.8878 0.8878 0.3365  3 Y 2.34, 3 F 2.58
F5 0.8313 0.5000 0.1687  2 Y 2.19
F6 0.5000 0.1687 0.5000  2 Y 2.19
F7 0.1687 0.5000 0.8313  2 Y 2.19
F8 0.5000 0.8313 0.1687  2 Y 2.19
F9 0.1687 0.8313 0.5000  2 Y 2.19
F10 0.1122 0.1122 0.1122  3 Y 2.34, 3 F 2.58
F11 0.8313 0.5000 0.5000  2 Y 2.19
F12 0.1122 0.1122 0.6635  3 Y 2.34, 3 F 2.58
F13 0.1687 0.5000 0.5000  2 Y 2.19
F14 0.5000 0.5000 0.1687  2 Y 2.19
F15 0.5000 0.8313 0.5000  2 Y 2.19
F16 0.6635 0.1122 0.1122  3 Y 2.34, 3 F 2.58
F17 0.1122 0.6635 0.1122  3 Y 2.34, 3 F 2.58
F18 0.8878 0.8878 0.8878  3 Y 2.34, 3 F 2.58
F19 0.8878 0.3365 0.8878  3 Y 2.34, 3 F 2.58
F20 0.5000 0.5000 0.8313  2 Y 2.19
Y1 0.7599 0.2401 0.7599  8 F 2.19-2.34
Y2 0.2401 0.7599 0.7599  8 F 2.19-2.34
Y3 0.7599 0.7599 0.2401  8 F 2.19-2.34
Y4 0.7599 0.2401 0.2401  8 F 2.19-2.34
Y5 0.2401 0.7599 0.2401  8 F 2.19-2.34
Y6 0.2401 0.2401 0.7599  8 F 2.19-2.34
K1 0.7500 0.7500 0.7500  4 F 2.74
K2 0.2500 0.2500 0.2500  4 F 2.74

---

Entry 7:
A PBEsol-optimized structure of KZnF3. Source: Alexandria via LeMat-Bulk, functional SCAN.

## Properties
Raw formation energy ... -2.774 eV per atom
Uncorrected energy ... -9.267 eV/atom
SG ... Pm-3m, No. 221
Total magnetic moment ... 0.0 μB per formula unit

abc: 4.0547 4.0547 4.0547
angles: 90.00 90.00 90.00
With the nearest neighbours (Å) after each atom.
Sites, in units of the cell vectors:
F1 0.0000 0.5000 0.5000  2 Zn 2.03
F2 0.5000 0.5000 0.0000  2 Zn 2.03
F3 0.5000 0.0000 0.5000  2 Zn 2.03
K1 0.0000 0.0000 0.0000  12 F 2.87
Zn1 0.5000 0.5000 0.5000  6 F 2.03

---

Entry 8:
A PBEsol-optimized structure of KZnF2. Source: Alexandria via LeMat-Bulk, functional SCAN.

## Properties
Raw formation energy ... -1.700 eV per atom
Uncorrected energy ... -8.931 eV/atom
SG ... R-3m, No. 166
Total magnetic moment ... 0.0 μB per formula unit
E above lowest polymorph ... 269 meV per atom

abc: 3.5102 3.5102 7.1509
angles: 75.79 75.79 60.00
With the nearest neighbours (Å) after each atom.
Sites, in units of the cell vectors:
F1 0.8787 0.8787 0.3638  3 Zn 2.23, 1 K 2.49
F2 0.1213 0.1213 0.6362  3 Zn 2.23, 1 K 2.49
K1 0.0000 0.0000 0.0000  2 F 2.49
Zn1 0.5000 0.5000 0.5000  6 F 2.23

---

Entry 9:
A PBEsol-optimized structure of K2ZnF4. Source: Alexandria via LeMat-Bulk, functional SCAN.

## Properties
Raw formation energy ... -2.824 eV per atom
Uncorrected energy ... -9.157 eV/atom
SG ... I4/mmm, No. 139
Total magnetic moment ... 0.0 μB per formula unit

abc: 4.0551 4.0551 7.1090
angles: 106.57 106.57 90.00
With the nearest neighbours (Å) after each atom.
Sites, in units of the cell vectors:
F1 0.1557 0.1557 0.3113  1 Zn 2.03
F2 0.5000 0.0000 0.0000  2 Zn 2.03
F3 0.8443 0.8443 0.6887  1 Zn 2.03
F4 0.0000 0.5000 0.0000  2 Zn 2.03
K1 0.3548 0.3548 0.7095  9 F 2.59-2.87
K2 0.6452 0.6452 0.2905  9 F 2.59-2.87
Zn1 0.0000 0.0000 0.0000  6 F 2.03

---

Entry 10:
A PBEsol-optimized structure of KZnF2. Source: Alexandria via LeMat-Bulk, functional SCAN.

## Properties
Raw formation energy ... -1.969 eV per atom
Uncorrected energy ... -9.200 eV/atom
SG ... I-42d, No. 122
Total magnetic moment ... 0.0 μB per formula unit
E above lowest polymorph ... 0 meV per atom

abc: 5.7464 6.2097 5.7464
angles: 117.56 90.00 117.56
With the nearest neighbours (Å) after each atom.
Sites, in units of the cell vectors:
F1 0.6250 0.7500 0.0551  2 Zn 2.12
F2 0.1250 0.7500 0.6949  2 Zn 2.12
F3 0.3051 0.2500 0.3750  2 Zn 2.12
F4 0.9449 0.2500 0.8750  2 Zn 2.12
Zn1 0.2500 0.5000 0.7500  4 F 2.12
Zn2 0.0000 0.0000 0.0000  4 F 2.12
K1 0.7500 0.5000 0.2500  4 F 2.61
K2 0.5000 0.0000 0.5000  4 F 2.61